## LaCr2SBr (GGA-PBE)

Data for an optimized crystal structure of LaCr2SBr.

Summary:
Space-group type = P4/mmm (123)
Crystal system = tetragonal
ΔE_f (raw) = -0.6 eV/f.u.
Raw total energy = -6.108 eV/atom

abc: 4.3250 6.4371 4.3250
angles: 90.00 90.00 90.00
With the nearest neighbours (Å) after each atom.
Fractional coordinates of all 5 atoms:
Br1 0.0000 0.5000 0.0000  4 La 3.06, 2 S 3.22
Cr1 0.0000 0.0000 0.5000  2 S 2.16
Cr2 0.5000 0.0000 0.0000  2 S 2.16
S1 0.0000 0.0000 0.0000  4 Cr 2.16
La1 0.5000 0.5000 0.5000  4 Br 3.06